Density functional theory data (meta-GGA SCAN) for LiMgTcH2 at its PBEsol-relaxed geometry.

POSCAR file:
```
LiMgTcH2
1.0
-1.439 -1.200 -2.984
2.324 -2.649 -0.056
-2.781 -2.489 2.341
Tc Li H Mg
1 1 2 1
Direct
0.000 0.000 0.000
0.000 0.000 0.500
0.500 0.000 0.000
0.000 0.500 0.000
0.500 0.500 0.500
```

crystal system	tetragonal

Density functional theory data (meta-GGA SCAN) for LiMnH6O7 at its PBEsol-relaxed geometry.

POSCAR file:
```
LiMnH6O7
1.0
-0.203 4.140 -3.463
-7.535 -0.406 -0.043
3.514 4.385 5.037
H O Mn Li
12 14 2 2
Direct
0.544 0.337 0.064
0.544 0.727 0.663
0.044 0.064 0.727
0.044 0.663 0.727
0.044 0.064 0.337
0.044 0.273 0.936
0.544 0.936 0.273
0.044 0.273 0.337
0.544 0.337 0.273
0.044 0.663 0.936
0.544 0.727 0.064
0.544 0.936 0.663
0.594 0.100 0.550
0.202 0.333 0.667
0.594 0.450 0.550
0.094 0.550 0.100
0.031 0.123 0.247
0.531 0.247 0.123
0.031 0.123 0.877
0.702 0.667 0.333
0.531 0.877 0.123
0.594 0.450 0.900
0.094 0.900 0.450
0.531 0.877 0.753
0.094 0.550 0.450
0.031 0.753 0.877
0.997 0.667 0.333
0.497 0.333 0.667
0.782 0.000 0.000
0.282 0.000 0.000
```

crystal system	hexagonal

Density functional theory data (meta-GGA SCAN) for LiMnP3HO10 at its PBEsol-relaxed geometry.

POSCAR file:
```
LiMnP3HO10
1.0
-0.127 5.843 2.425
-6.091 0.086 1.142
-0.348 -0.518 6.303
O Mn P H Li
10 1 3 1 1
Direct
0.594 0.292 0.299
0.624 0.690 0.320
0.695 0.010 0.991
0.715 0.375 0.619
0.314 0.825 0.142
0.991 0.304 0.912
0.133 0.686 0.903
0.345 0.324 0.001
0.316 0.463 0.600
0.662 0.645 0.917
0.660 0.332 0.961
0.189 0.449 0.869
0.569 0.795 0.084
0.572 0.439 0.463
0.242 0.749 0.048
0.012 0.989 0.869
```

crystal system	triclinic

Density functional theory data (meta-GGA SCAN) for LiMnP2H2O8 at its PBEsol-relaxed geometry.

POSCAR file:
```
LiMnP2H2O8
1.0
8.540 -0.069 0.000
-3.075 8.535 0.000
-2.732 -4.233 7.886
O P H Mn Li
32 8 8 4 4
Direct
0.851 0.443 0.591
0.975 0.293 0.991
0.846 0.140 0.632
0.084 0.889 0.214
0.789 0.744 0.940
0.344 0.992 0.602
0.064 0.701 0.559
0.485 0.303 0.009
0.436 0.727 0.539
0.132 0.116 0.875
0.005 0.142 0.441
0.756 0.241 0.125
0.398 0.188 0.461
0.514 0.629 0.036
0.330 0.969 0.896
0.167 0.461 0.843
0.370 0.675 0.786
0.824 0.618 0.157
0.830 0.730 0.670
0.978 0.593 0.964
0.675 0.995 0.838
0.660 0.060 0.330
0.242 0.391 0.398
0.934 0.073 0.104
0.714 0.508 0.368
0.349 0.804 0.060
0.337 0.157 0.162
0.406 0.532 0.253
0.653 0.279 0.747
0.760 0.852 0.409
0.143 0.577 0.277
0.366 0.300 0.723
0.826 0.047 0.450
0.321 0.142 0.991
0.349 0.640 0.932
0.313 0.554 0.368
0.830 0.150 0.009
0.875 0.597 0.550
0.445 0.186 0.632
0.916 0.707 0.068
0.089 0.205 0.926
0.411 0.321 0.846
0.547 0.945 0.233
0.827 0.879 0.000
0.663 0.278 0.074
0.064 0.475 0.154
0.327 0.879 0.000
0.815 0.712 0.767
0.620 0.586 0.215
0.373 0.849 0.711
0.162 0.138 0.289
0.905 0.371 0.785
0.722 0.889 0.635
0.200 0.385 0.609
0.091 0.775 0.391
0.587 0.254 0.365
```

energy above the most stable polymorph in this dataset	0.18	eV/f.u.
crystal system	monoclinic

Density functional theory data (meta-GGA SCAN) for LiMnPH2O5 at its PBEsol-relaxed geometry.

POSCAR file:
```
LiMnPH2O5
1.0
-0.554 0.474 4.673
-3.830 -4.042 -0.045
5.882 -5.587 1.264
O Li H Mn P
10 2 4 2 2
Direct
0.290 0.000 0.779
0.880 0.000 0.182
0.236 0.000 0.410
0.843 0.277 0.857
0.343 0.223 0.143
0.736 0.500 0.590
0.790 0.500 0.221
0.343 0.777 0.143
0.380 0.500 0.818
0.843 0.723 0.857
0.489 0.000 0.573
0.989 0.500 0.427
0.159 0.859 0.792
0.159 0.141 0.792
0.659 0.641 0.208
0.659 0.359 0.208
0.626 0.000 0.977
0.126 0.500 0.023
0.694 0.500 0.774
0.194 0.000 0.226
```

crystal system	orthorhombic

Density functional theory data (meta-GGA SCAN) for Li2Mn2P2H12O15 at its PBEsol-relaxed geometry.

POSCAR file:
```
Li2Mn2P2H12O15
1.0
-2.774 -2.058 -3.302
8.693 -7.588 0.888
-5.945 -5.372 8.350
H O Mn Li P
24 30 4 4 4
Direct
0.899 0.517 0.915
0.318 0.073 0.257
0.608 0.977 0.148
0.913 0.793 0.365
0.850 0.037 0.066
0.608 0.747 0.416
0.859 0.252 0.084
0.392 0.253 0.584
0.618 0.516 0.415
0.118 0.206 0.135
0.631 0.022 0.352
0.245 0.926 0.243
0.150 0.963 0.934
0.187 0.038 0.566
0.813 0.962 0.434
0.369 0.978 0.648
0.682 0.927 0.743
0.382 0.484 0.585
0.141 0.748 0.916
0.087 0.207 0.635
0.882 0.794 0.865
0.392 0.023 0.852
0.755 0.074 0.757
0.101 0.483 0.085
0.796 0.041 0.408
0.009 0.802 0.934
0.258 0.455 0.043
0.314 0.215 0.285
0.197 0.456 0.543
0.640 0.352 0.146
0.289 0.648 0.354
0.969 0.561 0.195
0.711 0.352 0.646
0.686 0.785 0.715
0.407 0.438 0.306
0.604 0.000 0.750
0.803 0.544 0.457
0.794 0.802 0.434
0.360 0.648 0.854
0.099 0.785 0.215
0.991 0.198 0.066
0.396 0.000 0.250
0.477 0.668 0.149
0.901 0.215 0.785
0.031 0.439 0.805
0.246 0.042 0.908
0.742 0.545 0.957
0.593 0.562 0.694
0.523 0.332 0.851
0.191 0.668 0.649
0.809 0.332 0.351
0.204 0.959 0.592
0.206 0.198 0.566
0.754 0.958 0.092
0.403 0.484 0.877
0.920 0.517 0.623
0.597 0.516 0.123
0.080 0.483 0.377
0.022 0.193 0.412
0.830 0.807 0.088
0.170 0.193 0.912
0.978 0.807 0.588
0.540 0.327 0.273
0.213 0.673 0.227
0.787 0.327 0.773
0.460 0.673 0.727
```

crystal system	triclinic

Density functional theory data (meta-GGA SCAN) for LiMnP2HO7 at its PBEsol-relaxed geometry.

POSCAR file:
```
LiMnP2HO7
1.0
-5.586 3.075 -0.060
-0.060 -5.077 -4.156
-2.002 -2.803 6.740
O Li P Mn H
14 2 4 2 2
Direct
0.105 0.911 0.152
0.794 0.550 0.958
0.119 0.383 0.699
0.688 0.841 0.192
0.108 0.758 0.691
0.312 0.159 0.808
0.538 0.253 0.193
0.892 0.242 0.309
0.206 0.450 0.042
0.881 0.617 0.301
0.330 0.570 0.463
0.462 0.747 0.807
0.670 0.430 0.537
0.895 0.089 0.848
0.374 0.780 0.083
0.626 0.220 0.917
0.872 0.731 0.142
0.734 0.378 0.341
0.128 0.269 0.858
0.266 0.622 0.659
0.226 0.286 0.246
0.774 0.714 0.754
0.226 0.974 0.746
0.774 0.026 0.254
```

crystal system	triclinic

Density functional theory data (meta-GGA SCAN) for LiMnP2H2O8 at its PBEsol-relaxed geometry.

POSCAR file:
```
LiMnP2H2O8
1.0
-0.254 -4.798 2.012
4.707 -2.135 -4.497
5.684 1.830 5.081
O P H Li Mn
16 4 4 2 2
Direct
0.018 0.699 0.042
0.725 0.577 0.721
0.489 0.808 0.534
0.276 0.552 0.286
0.276 0.448 0.714
0.982 0.801 0.542
0.275 0.077 0.779
0.275 0.923 0.221
0.511 0.692 0.034
0.982 0.199 0.458
0.724 0.052 0.214
0.018 0.301 0.958
0.489 0.192 0.466
0.511 0.308 0.966
0.725 0.423 0.279
0.724 0.948 0.786
0.270 0.285 0.855
0.270 0.715 0.145
0.730 0.215 0.355
0.730 0.785 0.645
0.466 0.506 0.708
0.534 0.006 0.792
0.534 0.994 0.208
0.466 0.494 0.292
0.917 0.000 0.000
0.083 0.500 0.500
0.234 0.000 0.500
0.766 0.500 0.000
```

energy above the most stable polymorph in this dataset	0.00	eV/f.u.
crystal system	orthorhombic

Number 1: ρ 3.98 g/cm³, total DFT energy (no corrections) -9.400 eV/atom. Number 2: ρ 2.24 g/cm³, total DFT energy (no corrections) -6.927 eV/atom. Number 3: ρ 2.28 g/cm³, total DFT energy (no corrections) -9.604 eV/atom. Number 4: ρ 2.94 g/cm³, total DFT energy (no corrections) -9.163 eV/atom. Number 5: ρ 2.69 g/cm³, total DFT energy (no corrections) -8.893 eV/atom. Number 6: ρ 2.32 g/cm³, total DFT energy (no corrections) -7.622 eV/atom. Number 7: ρ 2.77 g/cm³, total DFT energy (no corrections) -9.643 eV/atom. Number 8: ρ 3.01 g/cm³, total DFT energy (no corrections) -9.176 eV/atom.